[1]
{
  "formula": "SrTa2Ag",
  "functional": "PBE",
  "state": "relaxed",
  "ef_kj_per_mol_atoms": 74,
  "polymorph_energy_ev_per_fu": 1.383,
  "mass_density_g_cm3": 10.452,
  "cell": [[5.111, -0.003, -0.013], [-2.466, 5.949, 0.010], [0.179, 0.760, 2.913]],
  "species": ["Ag", "Sr", "Ta", "Ta"],
  "fractional_positions": [[0.000, 0.500, 0.500], [0.500, 0.500, 0.000], [0.000, 0.000, 0.000], [0.500, 0.000, 0.500]]
}

[2]
{
  "formula": "Co2SiNi",
  "functional": "PBE",
  "state": "relaxed",
  "e_form_raw_mev_per_atom": -226,
  "mass_density_g_cm3": 7.767,
  "cell": [[2.672, 0.000, 0.000], [0.000, 2.672, 0.000], [0.000, 0.000, 6.130]],
  "species": ["Co", "Co", "Ni", "Si"],
  "fractional_positions": [[0.000, 0.000, 0.982], [0.500, 0.500, 0.243], [0.000, 0.000, 0.525], [0.500, 0.500, 0.751]]
}

[3]
{
  "formula": "AcPdI",
  "functional": "PBE",
  "state": "relaxed",
  "e_form_raw_mev_per_atom": -811,
  "polymorph_energy_ev_per_fu": 1.002,
  "mass_density_g_cm3": 8.323,
  "cell": [[3.993, 0.000, 0.000], [0.000, 3.993, 0.000], [-1.997, -1.997, 5.760]],
  "species": ["I", "Ac", "Pd"],
  "fractional_positions": [[0.611, 0.611, 0.222], [0.310, 0.310, 0.621], [0.928, 0.928, 0.857]]
}

[4]
{
  "formula": "ScCdO2F",
  "functional": "PBE",
  "state": "relaxed",
  "e_form_raw_mev_per_atom": -1207,
  "mass_density_g_cm3": 4.640,
  "cell": [[-2.493, 2.915, 1.760], [-2.312, 0.153, -3.527], [-2.481, -3.024, 1.495]],
  "species": ["Sc", "F", "O", "O", "Cd"],
  "fractional_positions": [[0.500, 0.500, 0.500], [0.000, 0.000, 0.500], [0.000, 0.500, 0.000], [0.500, 0.000, 0.000], [0.000, 0.000, 0.000]]
}

[5]
{
  "formula": "AlTeH",
  "functional": "PBE",
  "state": "relaxed",
  "e_tot_ev_per_cell": -21.883,
  "mass_density_g_cm3": 3.796,
  "cell": [[7.923, -0.272, -1.773], [-1.712, 3.518, 1.190], [-2.311, 1.628, 5.844]],
  "species": ["Al", "Al", "Te", "Te", "H", "H"],
  "fractional_positions": [[0.703, 0.390, 0.740], [0.543, 0.330, 0.148], [0.345, 0.964, 0.814], [0.900, 0.756, 0.073], [0.522, 0.000, 0.455], [0.723, 0.720, 0.432]]
}

[6]
{
  "formula": "CaUP2O8",
  "functional": "PBE",
  "state": "relaxed",
  "e_form_raw_mev_per_atom": -2758,
  "mass_density_g_cm3": 5.068,
  "cell": [[-2.262, -2.180, -5.343], [6.437, 0.207, -2.809], [2.338, -13.179, 4.387]],
  "species": ["Ca", "Ca", "Ca", "Ca", "U", "U", "U", "U", "P", "P", "P", "P", "P", "P", "P", "P", "O", "O", "O", "O", "O", "O", "O", "O", "O", "O", "O", "O", "O", "O", "O", "O", "O", "O", "O", "O", "O", "O", "O", "O", "O", "O", "O", "O", "O", "O", "O", "O"],
  "fractional_positions": [[0.894, 0.750, 0.619], [0.394, 0.250, 0.881], [0.106, 0.250, 0.381], [0.606, 0.750, 0.119], [0.129, 0.750, 0.872], [0.629, 0.250, 0.628], [0.871, 0.250, 0.128], [0.371, 0.750, 0.372], [0.400, 0.750, 0.628], [0.900, 0.250, 0.872], [0.600, 0.250, 0.372], [0.100, 0.750, 0.128], [0.628, 0.750, 0.873], [0.128, 0.250, 0.627], [0.372, 0.250, 0.127], [0.872, 0.750, 0.373], [0.773, 0.750, 0.962], [0.273, 0.250, 0.538], [0.227, 0.250, 0.038], [0.727, 0.750, 0.462], [0.794, 0.750, 0.790], [0.294, 0.250, 0.710], [0.206, 0.250, 0.210], [0.706, 0.750, 0.290], [0.531, 0.422, 0.129], [0.031, 0.578, 0.371], [0.469, 0.922, 0.871], [0.969, 0.078, 0.629], [0.469, 0.578, 0.871], [0.969, 0.422, 0.629], [0.531, 0.078, 0.129], [0.031, 0.922, 0.371], [0.270, 0.750, 0.209], [0.770, 0.250, 0.291], [0.730, 0.250, 0.791], [0.230, 0.750, 0.709], [0.227, 0.750, 0.033], [0.727, 0.250, 0.467], [0.773, 0.250, 0.967], [0.273, 0.750, 0.533], [0.950, 0.927, 0.134], [0.450, 0.073, 0.366], [0.050, 0.427, 0.866], [0.550, 0.573, 0.634], [0.050, 0.073, 0.866], [0.550, 0.927, 0.634], [0.950, 0.573, 0.134], [0.450, 0.427, 0.366]]
}

[7]
{
  "formula": "DyCu9Si2",
  "functional": "PBE",
  "state": "relaxed",
  "e_form_raw_mev_per_atom": -210,
  "mass_density_g_cm3": 8.106,
  "cell": [[-6.086, -1.660, 1.212], [-0.776, -5.974, 4.945], [-3.193, 3.709, 6.066]],
  "species": ["Dy", "Dy", "Cu", "Cu", "Cu", "Cu", "Cu", "Cu", "Cu", "Cu", "Cu", "Cu", "Cu", "Cu", "Cu", "Cu", "Cu", "Cu", "Cu", "Cu", "Si", "Si", "Si", "Si"],
  "fractional_positions": [[0.500, 0.000, 0.000], [0.250, 0.500, 0.500], [0.750, 0.500, 0.500], [0.000, 0.000, 0.000], [0.014, 0.918, 0.673], [0.605, 0.082, 0.327], [0.682, 0.173, 0.582], [0.438, 0.827, 0.418], [0.736, 0.827, 0.582], [0.145, 0.173, 0.418], [0.068, 0.918, 0.327], [0.312, 0.082, 0.673], [0.736, 0.582, 0.827], [0.145, 0.418, 0.173], [0.068, 0.327, 0.918], [0.312, 0.673, 0.082], [0.014, 0.673, 0.918], [0.605, 0.327, 0.082], [0.682, 0.582, 0.173], [0.438, 0.418, 0.827], [0.875, 0.250, 0.750], [0.875, 0.750, 0.250], [0.875, 0.250, 0.250], [0.375, 0.750, 0.750]]
}

[8]
{
  "formula": "ZrBiSe2Br",
  "functional": "PBE",
  "state": "relaxed",
  "e_form_raw_mev_per_atom": 434,
  "polymorph_energy_ev_per_fu": 4.315,
  "mass_density_g_cm3": 5.285,
  "cell": [[-2.177, -3.003, 4.182], [3.265, -4.316, -1.399], [3.853, 1.837, 3.325]],
  "species": ["Br", "Se", "Se", "Bi", "Zr"],
  "fractional_positions": [[0.000, 0.000, 0.500], [0.000, 0.500, 0.000], [0.500, 0.000, 0.000], [0.000, 0.000, 0.000], [0.500, 0.500, 0.500]]
}

[9]
{
  "formula": "La4PmCu2",
  "functional": "PBE",
  "state": "relaxed",
  "ef_kj_per_mol_atoms": -1,
  "mass_density_g_cm3": 6.677,
  "cell": [[6.879, 0.000, 0.000], [0.000, 6.713, -2.757], [0.000, 0.536, 8.695]],
  "species": ["Pm", "Pm", "Cu", "Cu", "Cu", "Cu", "La", "La", "La", "La", "La", "La", "La", "La"],
  "fractional_positions": [[0.250, 0.859, 0.958], [0.750, 0.141, 0.042], [0.250, 0.269, 0.996], [0.750, 0.731, 0.004], [0.750, 0.403, 0.406], [0.250, 0.597, 0.594], [0.514, 0.393, 0.768], [0.250, 0.214, 0.330], [0.750, 0.786, 0.670], [0.986, 0.393, 0.768], [0.750, 0.014, 0.397], [0.014, 0.607, 0.232], [0.486, 0.607, 0.232], [0.250, 0.986, 0.603]]
}

[10]
{
  "formula": "Dy6IrAu5",
  "functional": "PBE",
  "state": "relaxed",
  "ef_kj_per_mol_atoms": -83,
  "mass_density_g_cm3": 13.071,
  "cell": [[4.777, -0.029, 1.592], [0.038, 7.158, 0.013], [-0.010, -0.014, 7.993]],
  "species": ["Ir", "Au", "Au", "Au", "Au", "Au", "Dy", "Dy", "Dy", "Dy", "Dy", "Dy"],
  "fractional_positions": [[0.000, 0.000, 0.000], [0.666, 0.500, 0.668], [0.326, 0.000, 0.347], [0.000, 0.500, 0.000], [0.674, 0.000, 0.653], [0.334, 0.500, 0.332], [0.839, 0.754, 0.322], [0.839, 0.246, 0.322], [0.500, 0.239, 0.000], [0.500, 0.761, 0.000], [0.161, 0.754, 0.678], [0.161, 0.246, 0.678]]
}

[11]
{
  "formula": "Tl3CdIn",
  "functional": "PBE",
  "state": "relaxed",
  "ef_kj_per_mol_atoms": 31,
  "polymorph_energy_ev_per_fu": 1.421,
  "mass_density_g_cm3": 7.651,
  "cell": [[5.671, 0.000, 0.000], [0.000, 5.671, 0.000], [0.000, 0.000, 5.671]],
  "species": ["Tl", "Tl", "Tl", "Cd", "In"],
  "fractional_positions": [[0.000, 0.500, 0.000], [0.000, 0.000, 0.500], [0.500, 0.000, 0.000], [0.000, 0.000, 0.000], [0.500, 0.500, 0.500]]
}

[12]
{
  "formula": "SrLaInI6",
  "functional": "PBE",
  "state": "relaxed",
  "e_form_raw_mev_per_atom": -1339,
  "mass_density_g_cm3": 4.060,
  "cell": [[8.304, 0.000, 0.000], [-4.152, 7.191, 0.000], [0.000, 0.000, 15.106]],
  "species": ["Sr", "Sr", "La", "La", "In", "In", "I", "I", "I", "I", "I", "I", "I", "I", "I", "I", "I", "I"],
  "fractional_positions": [[0.333, 0.667, 0.250], [0.667, 0.333, 0.750], [0.667, 0.333, 0.250], [0.333, 0.667, 0.750], [0.000, 0.000, 0.000], [0.000, 0.000, 0.500], [0.649, 0.638, 0.129], [0.989, 0.351, 0.129], [0.351, 0.989, 0.629], [0.011, 0.649, 0.871], [0.362, 0.351, 0.371], [0.989, 0.638, 0.371], [0.638, 0.989, 0.871], [0.649, 0.011, 0.371], [0.011, 0.362, 0.629], [0.362, 0.011, 0.129], [0.638, 0.649, 0.629], [0.351, 0.362, 0.871]]
}

[13]
{
  "formula": "Ce4RePb",
  "functional": "PBE",
  "state": "relaxed",
  "ef_kj_per_mol_atoms": -14,
  "mass_density_g_cm3": 9.993,
  "cell": [[5.903, 0.182, -1.187], [-2.127, 6.947, -2.593], [0.164, -0.191, 7.710]],
  "species": ["Ce", "Ce", "Ce", "Ce", "Ce", "Ce", "Ce", "Ce", "Re", "Re", "Pb", "Pb"],
  "fractional_positions": [[0.846, 0.631, 0.828], [0.077, 0.938, 0.306], [0.654, 0.172, 0.369], [0.423, 0.694, 0.062], [0.577, 0.306, 0.938], [0.346, 0.828, 0.631], [0.923, 0.062, 0.694], [0.154, 0.369, 0.172], [0.250, 0.004, 0.996], [0.750, 0.996, 0.004], [0.750, 0.609, 0.391], [0.250, 0.391, 0.609]]
}

[14]
{
  "formula": "HRhS2",
  "functional": "PBE",
  "state": "relaxed",
  "polymorph_energy_ev_per_fu": 1.719,
  "mass_density_g_cm3": 4.732,
  "cell": [[1.742, -10.469, 0.000], [1.742, 10.469, 0.000], [0.000, 0.000, 3.234]],
  "species": ["H", "H", "S", "S", "S", "S", "Rh", "Rh"],
  "fractional_positions": [[0.066, 0.934, 0.250], [0.934, 0.066, 0.750], [0.209, 0.791, 0.250], [0.791, 0.209, 0.750], [0.914, 0.086, 0.250], [0.086, 0.914, 0.750], [0.328, 0.672, 0.250], [0.672, 0.328, 0.750]]
}

[15]
{
  "formula": "Ba2NaHo",
  "functional": "PBE",
  "state": "relaxed",
  "ef_kj_per_mol_atoms": 18,
  "polymorph_energy_ev_per_fu": 0.000,
  "mass_density_g_cm3": 4.072,
  "cell": [[4.436, 0.000, 0.000], [0.000, 4.436, 0.000], [0.000, 0.000, 9.585]],
  "species": ["Na", "Ho", "Ba", "Ba"],
  "fractional_positions": [[0.500, 0.500, 0.500], [0.500, 0.500, 0.000], [0.000, 0.000, 0.760], [0.000, 0.000, 0.240]]
}

[16]
{
  "formula": "Pr2GeBPd6",
  "functional": "PBE",
  "state": "relaxed",
  "ef_kj_per_mol_atoms": -67,
  "mass_density_g_cm3": 8.992,
  "cell": [[5.818, 0.000, 0.000], [0.000, 7.250, 0.000], [0.000, 0.000, 8.790]],
  "species": ["Pr", "Pr", "Pr", "Pr", "Ge", "Ge", "B", "B", "Pd", "Pd", "Pd", "Pd", "Pd", "Pd", "Pd", "Pd", "Pd", "Pd", "Pd", "Pd"],
  "fractional_positions": [[0.500, 0.716, 0.283], [0.000, 0.284, 0.783], [0.500, 0.716, 0.717], [0.000, 0.284, 0.217], [0.000, 0.680, 0.500], [0.500, 0.320, 0.000], [0.500, 0.187, 0.500], [0.000, 0.813, 0.000], [0.500, 0.158, 0.259], [0.500, 0.158, 0.741], [0.000, 0.842, 0.241], [0.000, 0.842, 0.759], [0.236, 0.991, 0.500], [0.764, 0.991, 0.500], [0.255, 0.400, 0.500], [0.745, 0.400, 0.500], [0.755, 0.600, 0.000], [0.245, 0.600, 0.000], [0.264, 0.009, 0.000], [0.736, 0.009, 0.000]]
}